# 1
Here is a geometry-optimized Dy9Tm2Sc structure from the Alexandria database. Energies are from PBE.

Cell lengths 4.9672, 4.9672, 14.8757 Å; angles 90.00, 90.00, 90.00 degrees
Last column: nearest neighbours and their distance in Å.
Space group P4/mmm (No. 123)
Inequivalent atoms, fractional coordinates:
Dy (0.0000, 0.0000, 0.0000) [1 per cell]  8 Dy 3.47, 4 Sc 3.51
Dy (0.0000, 0.0000, 0.3315) [2 per cell]  4 Tm 3.51, 8 Dy 3.53
Dy (0.0000, 0.5000, 0.1631) [4 per cell]  8 Dy 3.47-3.53, 2 Sc 3.47, 2 Tm 3.53
Dy (0.0000, 0.5000, 0.5000) [2 per cell]  8 Dy 3.51-3.53, 4 Tm 3.53
Tm (0.5000, 0.5000, 0.3318) [2 per cell]  12 Dy 3.51-3.53
Sc (0.5000, 0.5000, 0.0000) [1 per cell]  12 Dy 3.47-3.51

***

# 2
Here is a geometry-optimized Dy3Tm8Sc2 structure from the Alexandria database. Energies are from PBE.

## Properties
ΔE to the lowest computed polymorph	7	meV per atom

Cell lengths 7.5591, 19.3579, 5.4908 Å; angles 90.00, 90.00, 90.00 degrees
Last column: nearest neighbours and their distance in Å.
Space group Cmmm (No. 65)
Inequivalent atoms, fractional coordinates:
Dy (0.0000, 0.0000, 0.0000) [2 per cell]  4 Tm 3.09
Dy (0.2133, 0.5000, 0.5000) [4 per cell]  3 Dy 3.23-3.50, 6 Tm 3.40-3.51
Tm (0.0000, 0.1356, 0.5000) [4 per cell]  4 Dy 3.40-3.80, 2 Sc 3.42, 5 Tm 3.54-3.65
Tm (0.0000, 0.3242, 0.5000) [4 per cell]  2 Sc 3.18, 4 Tm 3.40
Tm (0.2105, 0.3870, 0.0000) [8 per cell]  1 Dy 3.09, 3 Tm 3.18-3.40, 2 Sc 3.24-3.31
Sc (0.0000, 0.2410, 0.0000) [4 per cell]  8 Tm 3.18-3.42

***

Formation energy from the elements per entry: 0.0287 0.2481 eV per atom